Record 1
## CrIr3O (meta-GGA SCAN)

Data for CrIr3O at its PBEsol-relaxed geometry.

```
CrIr3O
1.0
4.408 0.000 0.000
0.000 4.408 0.000
0.000 0.000 4.408
Cr Ir O
1 3 1
Cartesian
0.000 0.000 0.000 Cr
0.000 0.000 2.204 Ir
0.000 2.204 0.000 Ir
2.204 0.000 0.000 Ir
2.204 2.204 2.204 O
```

Output
For the raw formation energy, the calculation gives 2050 meV per atom. The calculation puts the volume at 17.126 Å³/atom. Its space group is No. 221. As for the crystal system: cubic. Its calculated total energy is -227.66 eV/cell.

***

Record 2
## ScBeBr (meta-GGA SCAN)

Data for ScBeBr at its PBEsol-relaxed geometry.

```
ScBeBr
1.0
-1.653 1.653 5.517
1.653 -1.653 5.517
1.653 1.653 -5.517
Sc Be Br
1 1 1
Cartesian
0.000 0.000 0.000 Sc
0.000 0.000 6.899 Be
0.000 0.000 3.957 Br
```

Output
For the raw formation energy, the calculation gives -165 meV per atom. The calculation puts the volume at 20.109 Å³/atom. Its space group is No. 107. Its polymorph energy (0 for the lowest one) is 0 meV/atom. As for the crystal system: tetragonal. Its calculated total energy is -38.54 eV/cell.